Entry from Alexandria: a relaxed structure of Ba2MgNb6N2O14 (PBE-GGA).

Summary:
Calculated density: 4.71 Mg/m³
Formation energy without anion corrections: -2328 meV per atom
Relative energy among the computed polymorphs: 30 meV per atom
Calculated volume: 15.63 A^3/atom

CIF file:
```
data_Ba2MgNb6N2O14
_cell_length_a 21.421
_cell_length_b 3.971
_cell_length_c 9.248
_cell_angle_alpha 90.00
_cell_angle_beta 96.57
_cell_angle_gamma 90.00
_symmetry_space_group_name_H-M 'C 1 m 1'
_symmetry_Int_Tables_number 8
_symmetry_space_group_name_Hall 'C -2y'
loop_
_atom_site_label
_atom_site_type_symbol
_atom_site_fract_x
_atom_site_fract_y
_atom_site_fract_z
Ba1 Ba 0.000 0.000 0.000
Ba2 Ba 0.128 0.000 0.400
Mg1 Mg 0.196 0.000 0.929
Nb1 Nb 0.255 0.500 0.732
Nb2 Nb 0.262 0.500 0.163
Nb3 Nb 0.354 0.000 0.955
Nb4 Nb 0.386 0.500 0.487
Nb5 Nb 0.471 0.000 0.315
Nb6 Nb 0.498 0.000 0.670
N1 N 0.325 0.500 0.322
N2 N 0.418 0.000 0.503
O1 O 0.046 0.500 0.220
O2 O 0.048 0.500 0.852
O3 O 0.050 0.500 0.519
O4 O 0.189 0.500 0.246
O5 O 0.194 0.500 0.581
O6 O 0.200 0.500 0.914
O7 O 0.265 0.000 0.098
O8 O 0.265 0.000 0.791
O9 O 0.332 0.500 0.639
O10 O 0.332 0.500 0.976
O11 O 0.415 0.000 0.134
O12 O 0.417 0.000 0.837
O13 O 0.467 0.500 0.340
O14 O 0.480 0.500 0.677
```

Entry from Alexandria: a relaxed structure of TaRuW2 (PBE-GGA).

Summary:
Calculated density: 16.49 Mg/m³
Relative energy among the computed polymorphs: 198 meV per atom
Formation energy: 0.12 eV per atom
Calculated volume: 16.35 A^3/atom

CIF file:
```
data_TaRuW2
_cell_length_a 3.771
_cell_length_b 3.771
_cell_length_c 4.600
_cell_angle_alpha 90.00
_cell_angle_beta 90.00
_cell_angle_gamma 90.00
_symmetry_space_group_name_H-M 'P 4/m m m'
_symmetry_Int_Tables_number 123
_symmetry_space_group_name_Hall '-P 4 2'
loop_
_atom_site_label
_atom_site_type_symbol
_atom_site_fract_x
_atom_site_fract_y
_atom_site_fract_z
Ta1 Ta 0.000 0.000 0.000
Ru1 Ru 0.500 0.500 0.000
W1 W 0.000 0.500 0.500
```

Entry from Alexandria: a relaxed structure of Th2ZnGa3Rh4 (PBE-GGA).

Summary:
Calculated density: 10.24 Mg/m³
Formation energy: -0.77 eV per atom
Calculated volume: 18.66 A^3/atom

CIF file:
```
data_Th2ZnGa3Rh4
_cell_length_a 4.251
_cell_length_b 4.251
_cell_length_c 10.326
_cell_angle_alpha 90.00
_cell_angle_beta 90.00
_cell_angle_gamma 90.00
_symmetry_space_group_name_H-M 'P -4 m 2'
_symmetry_Int_Tables_number 115
_symmetry_space_group_name_Hall 'P -4 -2'
loop_
_atom_site_label
_atom_site_type_symbol
_atom_site_fract_x
_atom_site_fract_y
_atom_site_fract_z
Th1 Th 0.000 0.500 0.241
Zn1 Zn 0.000 0.000 0.500
Ga1 Ga 0.000 0.500 0.875
Ga2 Ga 0.500 0.500 0.500
Rh1 Rh 0.000 0.000 0.000
Rh2 Rh 0.000 0.500 0.637
Rh3 Rh 0.500 0.500 0.000
```

Entry from Alexandria: a relaxed structure of YAl4Tc (PBE-GGA).

Summary:
Calculated density: 4.41 Mg/m³
Relative energy among the computed polymorphs: 0 meV per atom
Formation energy: -0.22 eV per atom
Calculated volume: 18.51 A^3/atom

CIF file:
```
data_YAl4Tc
_cell_length_a 4.523
_cell_length_b 14.384
_cell_length_c 6.827
_cell_angle_alpha 90.00
_cell_angle_beta 90.00
_cell_angle_gamma 90.00
_symmetry_space_group_name_H-M 'C m c m'
_symmetry_Int_Tables_number 63
_symmetry_space_group_name_Hall '-C 2c 2'
loop_
_atom_site_label
_atom_site_type_symbol
_atom_site_fract_x
_atom_site_fract_y
_atom_site_fract_z
Y1 Y 0.000 0.117 0.250
Al1 Al 0.000 0.086 0.750
Al2 Al 0.000 0.263 0.576
Al3 Al 0.000 0.500 0.000
Tc1 Tc 0.000 0.344 0.250
```

Entry from Alexandria: a relaxed structure of RbCu3Ag (PBE-GGA).

Summary:
Calculated density: 4.18 Mg/m³
Relative energy among the computed polymorphs: 1202 meV per atom
Formation energy: 1.81 eV per atom
Calculated volume: 30.53 A^3/atom

CIF file:
```
data_RbCu3Ag
_cell_length_a 5.345
_cell_length_b 5.345
_cell_length_c 5.345
_cell_angle_alpha 90.00
_cell_angle_beta 90.00
_cell_angle_gamma 90.00
_symmetry_space_group_name_H-M 'P m -3 m'
_symmetry_Int_Tables_number 221
_symmetry_space_group_name_Hall '-P 4 2 3'
loop_
_atom_site_label
_atom_site_type_symbol
_atom_site_fract_x
_atom_site_fract_y
_atom_site_fract_z
Rb1 Rb 0.000 0.000 0.000
Cu1 Cu 0.000 0.000 0.500
Ag1 Ag 0.500 0.500 0.500
```

Entry from Alexandria: a relaxed structure of TiCoMo3 (PBE-GGA).

Summary:
Calculated density: 7.40 Mg/m³
Relative energy among the computed polymorphs: 0 meV per atom
Formation energy: 1.03 eV per atom
Calculated volume: 17.71 A^3/atom

CIF file:
```
data_TiCoMo3
_cell_length_a 4.457
_cell_length_b 4.457
_cell_length_c 4.457
_cell_angle_alpha 90.00
_cell_angle_beta 90.00
_cell_angle_gamma 90.00
_symmetry_space_group_name_H-M 'P m -3 m'
_symmetry_Int_Tables_number 221
_symmetry_space_group_name_Hall '-P 4 2 3'
loop_
_atom_site_label
_atom_site_type_symbol
_atom_site_fract_x
_atom_site_fract_y
_atom_site_fract_z
Ti1 Ti 0.000 0.000 0.000
Co1 Co 0.500 0.500 0.500
Mo1 Mo 0.000 0.500 0.500
```

Entry from Alexandria: a relaxed structure of Er3ScRh2 (PBE-GGA).

Summary:
Calculated density: 9.13 Mg/m³
Relative energy among the computed polymorphs: 0 meV per atom
Formation energy: -0.62 eV per atom
Calculated volume: 22.81 A^3/atom

CIF file:
```
data_Er3ScRh2
_cell_length_a 4.109
_cell_length_b 4.581
_cell_length_c 14.539
_cell_angle_alpha 90.00
_cell_angle_beta 90.00
_cell_angle_gamma 90.00
_symmetry_space_group_name_H-M 'I m m m'
_symmetry_Int_Tables_number 71
_symmetry_space_group_name_Hall '-I 2 2'
loop_
_atom_site_label
_atom_site_type_symbol
_atom_site_fract_x
_atom_site_fract_y
_atom_site_fract_z
Er1 Er 0.000 0.000 0.000
Er2 Er 0.000 0.500 0.316
Sc1 Sc 0.000 0.000 0.500
Rh1 Rh 0.000 0.500 0.127
```

Entry from Alexandria: a relaxed structure of SmFeRu (PBE-GGA).

Summary:
Calculated density: 8.56 Mg/m³
Relative energy among the computed polymorphs: 146 meV per atom
Formation energy: 0.01 eV per atom
Calculated volume: 19.87 A^3/atom

CIF file:
```
data_SmFeRu
_cell_length_a 3.9795
_cell_length_b 3.9795
_cell_length_c 4.3472
_cell_angle_alpha 90.00
_cell_angle_beta 90.00
_cell_angle_gamma 120.00
_symmetry_space_group_name_H-M 'P -6 m 2'
_symmetry_Int_Tables_number 187
_symmetry_space_group_name_Hall 'P -6 2'
loop_
_atom_site_label
_atom_site_type_symbol
_atom_site_fract_x
_atom_site_fract_y
_atom_site_fract_z
Sm1 Sm 0.0000 0.0000 0.0000
Fe1 Fe 0.6667 0.3333 0.5000
Ru1 Ru 0.3333 0.6667 0.5000
```